Here is an optimized crystal structure of LaCuIr2 from the Alexandria database. Energies are from PBE. Values from VASP.

Structure (Quantum ESPRESSO input):
```
&SYSTEM
  ibrav = 0, nat = 4, ntyp = 3
/
ATOMIC_SPECIES
La 138.91 La.upf
Cu 63.55 Cu.upf
Ir 192.22 Ir.upf
ATOMIC_POSITIONS crystal
La 0.0000 0.0000 0.0000
Cu 0.0000 0.0000 0.5000
Ir 0.5000 0.5000 0.2970
Ir 0.5000 0.5000 0.7030
CELL_PARAMETERS angstrom
3.0091 0.0000 0.0000
0.0000 3.7980 0.0000
0.0000 0.0000 6.3233
```

- calculated formation energy (kcal/mol of atoms) = 1.047
- calculated total energy (eV/atom) = -6.641